(1)
Compound: Ga3Au5
Source: the Alexandria database
Functional: GGA-PBE
Structure: optimized geometry

Lattice parameters (Å, degrees): 12.490 7.596 6.476 90.00 90.00 90.00
Atoms (fractional coordinates):
Ga 0.092 0.250 0.054
Ga 0.169 0.502 0.661
Ga 0.169 0.998 0.661
Ga 0.331 0.002 0.161
Ga 0.331 0.498 0.161
Ga 0.408 0.750 0.554
Ga 0.592 0.250 0.446
Ga 0.669 0.502 0.839
Ga 0.669 0.998 0.839
Ga 0.831 0.002 0.339
Ga 0.831 0.498 0.339
Ga 0.908 0.750 0.946
Au 0.034 0.561 0.206
Au 0.034 0.939 0.206
Au 0.058 0.250 0.452
Au 0.200 0.750 0.943
Au 0.219 0.750 0.388
Au 0.281 0.250 0.888
Au 0.300 0.250 0.443
Au 0.442 0.750 0.952
Au 0.466 0.061 0.706
Au 0.466 0.439 0.706
Au 0.534 0.561 0.294
Au 0.534 0.939 0.294
Au 0.558 0.250 0.048
Au 0.700 0.750 0.557
Au 0.719 0.750 0.112
Au 0.781 0.250 0.612
Au 0.800 0.250 0.057
Au 0.942 0.750 0.548
Au 0.966 0.061 0.794
Au 0.966 0.439 0.794

Properties
As for the symmetry: Pnma (62). For the calculated volume, the calculation gives 19.202 Å³ per atom. The calculation puts the formation energy at -0.131 eV per atom.

***

(2)
Compound: Tb4Te5F2
Source: the Alexandria database
Functional: GGA-PBE
Structure: optimized geometry

Lattice parameters (Å, degrees): 10.678 10.678 8.952 102.96 102.96 23.20
Atoms (fractional coordinates):
Tb 0.038 0.038 0.263
Tb 0.333 0.333 0.473
Tb 0.667 0.667 0.527
Tb 0.962 0.962 0.737
Te 0.098 0.098 0.667
Te 0.191 0.191 0.291
Te 0.500 0.500 0.000
Te 0.809 0.809 0.709
Te 0.902 0.902 0.333
F 0.435 0.435 0.643
F 0.565 0.565 0.357

Properties
As for the symmetry: C2/m (12). The formation energy without anion corrections comes out at -21.70 eV/f.u. For the calculated volume, the calculation gives 35.585 Å³ per atom.